Record 1
First-principles (GGA-PBEsol) data for a relaxed Li2Au crystal, as listed in Alexandria via LeMat-Bulk.

abc: 7.5599 7.5599 2.7684
angles: 90.00 90.00 120.00
Element x y z (fractional)
Li: 0.0000 0.3702 0.0000
Li: 0.0000 0.7021 0.5000
Li: 0.2979 0.2979 0.5000
Li: 0.3702 0.0000 0.0000
Li: 0.6298 0.6298 0.0000
Li: 0.7021 0.0000 0.5000
Au: 0.0000 0.0000 0.0000
Au: 0.3333 0.6667 0.5000
Au: 0.6667 0.3333 0.5000

Properties
Total energy: -3.0377 eV per atom
DOS at the Fermi energy: 0.313 states/eV per atom
Size of the total moment: 0.0 μB/f.u.



Record 2
First-principles (GGA-PBEsol) data for a relaxed LiAu3 crystal, as listed in Alexandria via LeMat-Bulk.

abc: 4.9207 4.9207 2.8508
angles: 90.00 90.00 110.50
Element x y z (fractional)
Li: 0.0000 0.0000 0.0000
Au: 0.0000 0.5000 0.5000
Au: 0.5000 0.0000 0.5000
Au: 0.5000 0.5000 0.0000

Properties
Total energy: -3.7249 eV per atom
DOS at the Fermi energy: 0.275 states/eV per atom
Size of the total moment: 0.0 μB/f.u.



Record 3
First-principles (GGA-PBEsol) data for a relaxed Li2Au crystal, as listed in Alexandria via LeMat-Bulk.

abc: 4.6783 4.6783 7.5308
angles: 90.00 90.00 146.19
Element x y z (fractional)
Li: 0.1004 0.8996 0.5000
Li: 0.3575 0.6425 0.3298
Li: 0.6425 0.3575 0.8298
Li: 0.8996 0.1004 0.0000
Au: 0.3746 0.6254 0.6799
Au: 0.6254 0.3746 0.1799

Properties
Total energy: -3.0161 eV per atom
DOS at the Fermi energy: 0.318 states/eV per atom
Size of the total moment: 0.0 μB/f.u.



Record 4
First-principles (GGA-PBEsol) data for a relaxed Li5Au crystal, as listed in Alexandria via LeMat-Bulk.

abc: 4.8290 4.8290 5.6541
angles: 105.22 105.22 50.20
Element x y z (fractional)
Li: 0.0000 0.0000 0.0000
Li: 0.3283 0.3283 0.6546
Li: 0.3498 0.3498 0.1984
Li: 0.6502 0.6502 0.8016
Li: 0.6717 0.6717 0.3454
Au: 0.0000 0.0000 0.5000

Properties
Energy above the most stable polymorph in this dataset: 0.000 eV/atom
DOS at the Fermi energy: 0.377 states/eV per atom
Size of the total moment: 0.0 μB/f.u.



Record 5
First-principles (GGA-PBEsol) data for a relaxed Li5Au crystal, as listed in Alexandria via LeMat-Bulk.

abc: 3.2384 3.2384 9.9275
angles: 90.00 90.00 90.00
Element x y z (fractional)
Li: 0.0000 0.0000 0.0000
Li: 0.0000 0.0000 0.3674
Li: 0.0000 0.0000 0.6326
Li: 0.5000 0.5000 0.1973
Li: 0.5000 0.5000 0.8027
Au: 0.5000 0.5000 0.5000

Properties
Energy above the most stable polymorph in this dataset: 0.040 eV/atom
DOS at the Fermi energy: 0.386 states/eV per atom
Size of the total moment: 0.0 μB/f.u.



Record 6
First-principles (GGA-PBEsol) data for a relaxed Li2Au crystal, as listed in Alexandria via LeMat-Bulk.

abc: 6.5751 6.5751 5.4241
angles: 104.72 104.72 24.31
Element x y z (fractional)
Li: 0.0061 0.0061 0.2322
Li: 0.3237 0.3237 0.3887
Li: 0.6763 0.6763 0.6113
Li: 0.9939 0.9939 0.7678
Au: 0.3405 0.3405 0.9095
Au: 0.6595 0.6595 0.0905

Properties
Total energy: -2.9816 eV per atom
DOS at the Fermi energy: 0.302 states/eV per atom
Size of the total moment: 0.0 μB/f.u.



Record 7
First-principles (GGA-PBEsol) data for a relaxed LiAu3 crystal, as listed in Alexandria via LeMat-Bulk.

abc: 4.9640 4.9640 3.9410
angles: 113.29 113.29 46.77
Element x y z (fractional)
Li: 0.0000 0.0000 0.0000
Au: 0.2500 0.2500 0.7501
Au: 0.5000 0.5000 0.5000
Au: 0.7500 0.7500 0.2499

Properties
Total energy: -3.7814 eV per atom
DOS at the Fermi energy: 0.205 states/eV per atom
Size of the total moment: 0.0 μB/f.u.



Record 8
First-principles (GGA-PBEsol) data for a relaxed LiAu3 crystal, as listed in Alexandria via LeMat-Bulk.

abc: 2.8213 4.1114 5.5622
angles: 90.00 90.11 90.00
Element x y z (fractional)
Li: 0.0000 0.0000 0.0000
Au: 0.0000 0.0000 0.5000
Au: 0.4991 0.5000 0.2430
Au: 0.5009 0.5000 0.7570

Properties
Total energy: -3.7368 eV per atom
DOS at the Fermi energy: 0.247 states/eV per atom
Size of the total moment: 0.0 μB/f.u.



Record 9
First-principles (GGA-PBEsol) data for a relaxed LiLuAu2 crystal, as listed in Alexandria via LeMat-Bulk.

abc: 4.6940 4.6940 4.6940
angles: 60.00 60.00 60.00
Element x y z (fractional)
Li: 0.0000 0.0000 0.0000
Lu: 0.5000 0.5000 0.5000
Au: 0.2500 0.2500 0.2500
Au: 0.7500 0.7500 0.7500

Properties
Total energy: -4.3933 eV per atom
DOS at the Fermi energy: 0.624 states/eV per atom
Size of the total moment: 0.0 μB/f.u.



Record 10
First-principles (GGA-PBEsol) data for a relaxed LiMgAu crystal, as listed in Alexandria via LeMat-Bulk.

abc: 4.9819 4.9819 4.9819
angles: 140.60 140.60 56.95
Element x y z (fractional)
Li: 0.0000 0.0000 0.0000
Mg: 0.3148 0.3148 0.0000
Au: 0.6464 0.6464 0.0000

Properties
Energy above the most stable polymorph in this dataset: 0.037 eV/atom
DOS at the Fermi energy: 0.326 states/eV per atom
Size of the total moment: 0.0 μB/f.u.



Record 11
First-principles (GGA-PBEsol) data for a relaxed Li3MgAu crystal, as listed in Alexandria via LeMat-Bulk.

abc: 4.7933 4.7933 4.7933
angles: 90.00 90.00 90.00
Element x y z (fractional)
Li: 0.0000 0.0000 0.5000
Li: 0.0000 0.5000 0.0000
Li: 0.5000 0.0000 0.0000
Mg: 0.5000 0.5000 0.5000
Au: 0.0000 0.0000 0.0000

Properties
Total energy: -2.3530 eV per atom
DOS at the Fermi energy: 0.355 states/eV per atom
Size of the total moment: 0.0 μB/f.u.



Record 12
First-principles (GGA-PBEsol) data for a relaxed LiMgAu4 crystal, as listed in Alexandria via LeMat-Bulk.

abc: 5.4165 5.4165 5.4165
angles: 60.00 60.00 60.00
Element x y z (fractional)
Li: 0.0000 0.0000 0.0000
Mg: 0.7500 0.7500 0.7500
Au: 0.3750 0.3750 0.3750
Au: 0.3750 0.3750 0.8751
Au: 0.3750 0.8751 0.3750
Au: 0.8751 0.3750 0.3750

Properties
Total energy: -3.5510 eV per atom
DOS at the Fermi energy: 0.272 states/eV per atom
Size of the total moment: 0.0 μB/f.u.